SrTm2O4 | PBE-GGA | relaxed

Results
The energy above the most stable polymorph in this dataset is 31 meV per atom. The total energy comes out at -7.73 eV/atom. For the formation energy without anion corrections, the calculation gives -3.38 eV per atom.

Structure (POSCAR):
```
SrTm2O4
1.0
1.669 -5.525 0.000
1.669 5.525 0.000
0.000 0.000 11.066
Sr Tm O
2 4 8
Cartesian
1.669 4.289 8.299
1.669 -4.289 2.766
1.669 1.474 6.333
1.669 1.474 10.266
1.669 -1.474 0.800
1.669 -1.474 4.733
0.000 0.000 0.000
0.000 0.000 5.533
1.669 2.618 1.188
1.669 2.618 4.345
1.669 0.551 8.299
1.669 -0.551 2.766
1.669 -2.618 6.721
1.669 -2.618 9.878
```